[1]
This record from the Alexandria database describes crystalline FeBiI2 at its relaxed geometry. The functional is PBE.

N(E_F) = 4.313 states/eV/f.u.
offset from the most stable computed form = 6.4 kJ/mol of atoms
space group = Fm-3m (225)
formation energy (no corrections) = 68 kJ per mole of atoms
total magnetization = 3.32 μB/f.u.

Lattice parameters (Å, degrees): 5.4239 5.4239 5.4239 60.00 60.00 60.00
With the nearest neighbours (Å) after each atom.
Sites, in units of the cell vectors:
Fe (0.0000, 0.0000, 0.0000)  8 I 3.32
Bi (0.5000, 0.5000, 0.5000)  8 I 3.32
I (0.2500, 0.2500, 0.2500)  4 Fe 3.32, 4 Bi 3.32
I (0.7500, 0.7500, 0.7500)  4 Fe 3.32, 4 Bi 3.32



[2]
This record from the Alexandria database describes crystalline Fe2BiI8 at its relaxed geometry. The functional is PBE.

N(E_F) = 6.367 states/eV/f.u.
space group = C2/m (12)
formation energy (no corrections) = -23 kJ per mole of atoms
total magnetization = 9.00 μB/f.u.

Lattice parameters (Å, degrees): 8.8573 8.8573 7.1935 95.32 95.32 76.07
With the nearest neighbours (Å) after each atom.
Sites, in units of the cell vectors:
Fe (0.1949, 0.1949, 0.1432)  4 I 2.50-2.64
Fe (0.8051, 0.8051, 0.8568)  4 I 2.50-2.64
Bi (0.0000, 0.0000, 0.5000)  6 I 3.11-3.16
I (0.0875, 0.7114, 0.7368)  1 Fe 2.64
I (0.1914, 0.1914, 0.7813)  1 Fe 2.60
I (0.2886, 0.9125, 0.2632)  1 Fe 2.64
I (0.3687, 0.3687, 0.2767)  1 Fe 2.50
I (0.6313, 0.6313, 0.7233)  1 Fe 2.50
I (0.7114, 0.0875, 0.7368)  1 Fe 2.64
I (0.8086, 0.8086, 0.2187)  1 Fe 2.60
I (0.9125, 0.2886, 0.2632)  1 Fe 2.64



> Look up the N(E_F) of the second one.

6.367 states/eV/f.u.